Material: TbPm3Tm2
Method: DFT, PBE
State: optimized geometry

Unit cell a=7.166 b=6.191 c=9.481 alpha=89.78 beta=112.20 gamma=90.00
Fractional positions:
Tm1 0.457 0.917 0.666
Pm1 0.293 0.583 0.334
Pm2 0.707 0.417 0.666
Tb1 0.126 0.250 0.000
Pm3 0.042 0.083 0.334
Pm4 0.625 0.250 0.000
Tm2 0.543 0.083 0.334
Tm3 0.792 0.583 0.334
Tb2 0.874 0.750 0.000
Pm5 0.958 0.917 0.666
Tm4 0.208 0.417 0.666
Pm6 0.375 0.750 0.000

Properties
For the density of states at the Fermi level, the calculation gives 16.8 states/eV/cell. The volume is 32.45 Å³ per atom. As for the total magnetic moment: 0.000 μB per cell. The calculation puts the formation energy at 20 meV/atom.

Material: NaTmIn4O8
Method: DFT, PBE
State: optimized geometry

Unit cell a=6.590 b=6.590 c=6.594 alpha=60.02 beta=60.02 gamma=60.00
Fractional positions:
Na1 0.377 0.377 0.870
O1 0.758 0.758 0.725
Tm1 0.004 0.004 0.988
O2 0.237 0.237 0.289
O3 0.757 0.225 0.261
O4 0.238 0.791 0.734
O5 0.225 0.757 0.261
In1 0.622 0.622 0.133
O6 0.757 0.757 0.261
In2 0.490 0.003 0.503
In3 0.003 0.490 0.503
O7 0.238 0.238 0.734
In4 0.003 0.003 0.503
O8 0.791 0.238 0.734

Properties
The volume is 14.47 Å³ per atom. As for the total magnetic moment: 0.000 μB per cell. The formation energy from raw total energies comes out at -1.88 eV/atom.

Material: HgRuPb2
Method: DFT, PBE
State: optimized geometry

Unit cell a=5.699 b=5.699 c=5.699 alpha=134.81 beta=134.81 gamma=65.82
Fractional positions:
Pb1 0.000 0.000 0.000
Ru1 0.500 0.500 0.000
Pb2 0.250 0.750 0.500
Hg1 0.750 0.250 0.500

Properties
For the density of states at the Fermi level, the calculation gives 3.3 states/eV/cell. The volume is 22.94 Å³ per atom. As for the total magnetic moment: 0.000 μB per cell. The calculation puts the formation energy at 572 meV/atom.

Material: Ca2Zn3Au17
Method: DFT, PBE
State: optimized geometry

Unit cell a=7.750 b=7.750 c=7.750 alpha=83.58 beta=83.58 gamma=83.58
Fractional positions:
Au1 0.666 0.666 0.179
Au2 0.735 0.000 0.265
Zn1 0.000 0.500 0.500
Au3 0.000 0.500 0.000
Au4 0.735 0.265 0.000
Au5 0.821 0.334 0.334
Ca1 0.703 0.703 0.703
Au6 0.265 0.000 0.735
Au7 0.000 0.000 0.500
Au8 0.000 0.735 0.265
Au9 0.000 0.265 0.735
Zn2 0.500 0.000 0.500
Au10 0.901 0.901 0.901
Au11 0.334 0.821 0.334
Au12 0.265 0.735 0.000
Au13 0.099 0.099 0.099
Au14 0.334 0.334 0.821
Au15 0.500 0.000 0.000
Au16 0.179 0.666 0.666
Zn3 0.500 0.500 0.000
Ca2 0.297 0.297 0.297
Au17 0.666 0.179 0.666

Properties
For the density of states at the Fermi level, the calculation gives 5.0 states/eV/cell. The volume is 20.79 Å³ per atom. As for the total magnetic moment: 0.000 μB per cell. The calculation puts the formation energy at -54 meV/atom.

Material: Ce2ZnSi2Rh5
Method: DFT, PBE
State: optimized geometry

Unit cell a=3.501 b=9.828 c=9.828 alpha=90.00 beta=90.00 gamma=90.00
Site moments in Bohr magnetons follow the coordinates.
Fractional positions:
Rh1 0.500 0.932 0.214  -0.02
Rh2 0.500 0.214 0.068  -0.02
Si1 0.000 0.123 0.623  0.00
Rh3 0.500 0.786 0.932  -0.02
Rh4 0.500 0.568 0.714  -0.02
Rh5 0.500 0.714 0.432  -0.02
Si2 0.000 0.877 0.377  0.00
Ce1 0.000 0.176 0.324  0.57
Ce2 0.000 0.324 0.824  0.57
Rh6 0.500 0.000 0.500  -0.03
Rh7 0.500 0.500 0.000  -0.03
Rh8 0.500 0.286 0.568  -0.02
Si3 0.000 0.377 0.123  0.00
Zn1 0.000 0.000 0.000  0.00
Si4 0.000 0.623 0.877  0.00
Rh9 0.500 0.432 0.286  -0.02
Zn2 0.000 0.500 0.500  0.00
Ce3 0.000 0.824 0.676  0.57
Rh10 0.500 0.068 0.786  -0.02
Ce4 0.000 0.676 0.176  0.57

Properties
For the density of states at the Fermi level, the calculation gives 23.1 states/eV/cell. The volume is 16.90 Å³ per atom. As for the total magnetic moment: 2.464 μB per cell. The formation energy from raw total energies comes out at -0.78 eV/atom.

Material: MnCd2Co
Method: DFT, PBE
State: optimized geometry

Unit cell a=4.930 b=4.930 c=4.930 alpha=131.68 beta=131.68 gamma=70.74
Site moments in Bohr magnetons follow the coordinates.
Fractional positions:
Co1 0.500 0.500 0.000  1.29
Cd1 0.000 0.000 0.000  -0.03
Mn1 0.750 0.250 0.500  3.57
Cd2 0.250 0.750 0.500  -0.04

Properties
For the density of states at the Fermi level, the calculation gives 3.1 states/eV/cell. The volume is 16.37 Å³ per atom. As for the total magnetic moment: 4.831 μB per cell. The calculation puts the formation energy at 304 meV/atom.

Material: FeCuTc2
Method: DFT, PBE
State: optimized geometry

Unit cell a=2.666 b=3.821 c=5.246 alpha=90.00 beta=90.00 gamma=90.00
Site moments in Bohr magnetons follow the coordinates.
Fractional positions:
Fe1 0.500 0.500 0.741  2.36
Tc1 0.500 0.500 0.246  0.06
Tc2 0.000 0.000 0.003  -0.11
Cu1 0.000 0.000 0.510  0.04

Properties
For the density of states at the Fermi level, the calculation gives 4.0 states/eV/cell. The volume is 13.36 Å³ per atom. As for the total magnetic moment: 2.325 μB per cell. The calculation puts the formation energy at 181 meV/atom.

Material: BaU6Se12
Method: DFT, PBE
State: optimized geometry

Unit cell a=8.531 b=8.531 c=8.531 alpha=107.56 beta=107.56 gamma=107.56
Site moments in Bohr magnetons follow the coordinates.
Fractional positions:
U1 0.730 0.310 0.730  2.33
U2 0.310 0.730 0.730  2.33
U3 0.730 0.730 0.310  2.33
Se1 0.123 0.877 0.500  -0.09
Se2 0.500 0.877 0.123  -0.09
Se3 0.593 0.593 0.852  -0.10
Se4 0.877 0.123 0.500  -0.09
Se5 0.148 0.407 0.407  -0.10
Se6 0.123 0.500 0.877  -0.09
Se7 0.852 0.593 0.593  -0.10
Se8 0.593 0.852 0.593  -0.10
Se9 0.500 0.123 0.877  -0.09
U4 0.270 0.270 0.690  2.33
Se10 0.877 0.500 0.123  -0.09
U5 0.270 0.690 0.270  2.33
Ba1 0.000 0.000 0.000  0.05
U6 0.690 0.270 0.270  2.33
Se11 0.407 0.407 0.148  -0.10
Se12 0.407 0.148 0.407  -0.10

Properties
For the density of states at the Fermi level, the calculation gives 29.5 states/eV/cell. The volume is 26.78 Å³ per atom. As for the total magnetic moment: 14.002 μB per cell. The formation energy from raw total energies comes out at -1.06 eV/atom.

Material: Sm3Er2In3
Method: DFT, PBE
State: optimized geometry

Unit cell a=5.311 b=6.241 c=8.925 alpha=120.38 beta=107.31 gamma=90.00
Fractional positions:
Sm1 0.500 0.500 0.000
Sm2 0.377 0.792 0.754
In1 0.153 0.563 0.306
Sm3 0.623 0.208 0.246
In2 0.000 0.000 0.000
Er1 0.766 0.849 0.533
In3 0.847 0.437 0.694
Er2 0.234 0.151 0.467

Properties
For the density of states at the Fermi level, the calculation gives 7.2 states/eV/cell. The volume is 29.94 Å³ per atom. As for the total magnetic moment: 0.000 μB per cell. The calculation puts the formation energy at -220 meV/atom.

Material: AlSn2Pb
Method: DFT, PBE
State: optimized geometry

Unit cell a=4.108 b=4.108 c=7.971 alpha=75.07 beta=75.07 gamma=60.00
Fractional positions:
Sn1 0.264 0.264 0.208
Al1 0.000 0.000 0.000
Sn2 0.736 0.736 0.792
Pb1 0.500 0.500 0.500

Properties
For the density of states at the Fermi level, the calculation gives 2.2 states/eV/cell. The volume is 27.80 Å³ per atom. As for the total magnetic moment: 0.000 μB per cell. The calculation puts the formation energy at 148 meV/atom.

Material: InSnClF2
Method: DFT, PBE
State: optimized geometry

Unit cell a=4.339 b=4.339 c=5.867 alpha=90.00 beta=90.00 gamma=90.00
Fractional positions:
In1 0.000 0.000 0.500
F1 0.500 0.000 0.000
Sn1 0.000 0.000 0.000
F2 0.000 0.500 0.000
Cl1 0.500 0.500 0.500

Properties
For the density of states at the Fermi level, the calculation gives 0.5 states/eV/cell. The volume is 22.09 Å³ per atom. As for the total magnetic moment: 0.000 μB per cell. The formation energy from raw total energies comes out at -1.56 eV/atom.

Material: SnS5I
Method: DFT, PBE
State: optimized geometry

Unit cell a=3.564 b=11.855 c=9.532 alpha=136.64 beta=124.16 gamma=72.11
Fractional positions:
S1 0.752 0.025 0.081
S2 0.396 0.003 0.208
S3 0.528 0.269 0.765
Sn1 0.887 0.431 0.781
S4 0.251 0.711 0.214
S5 0.072 0.477 0.602
I1 0.644 0.615 0.410

Properties
For the density of states at the Fermi level, the calculation gives 1.2 states/eV/cell. The volume is 32.16 Å³ per atom. As for the total magnetic moment: 0.000 μB per cell. The formation energy from raw total energies comes out at 0.11 eV/atom.

Material: TcRh2
Method: DFT, PBE
State: optimized geometry

Unit cell a=4.154 b=4.154 c=4.154 alpha=60.00 beta=60.00 gamma=60.00
Fractional positions:
Rh1 0.750 0.750 0.750
Tc1 0.000 0.000 0.000
Rh2 0.250 0.250 0.250

Properties
For the density of states at the Fermi level, the calculation gives 4.6 states/eV/cell. The volume is 16.90 Å³ per atom. As for the total magnetic moment: 0.042 μB per cell. The calculation puts the formation energy at 461 meV/atom.

Material: MgZr7Tl3
Method: DFT, PBE
State: optimized geometry

Unit cell a=5.251 b=7.611 c=7.611 alpha=85.65 beta=110.01 gamma=110.01
Site moments in Bohr magnetons follow the coordinates.
Fractional positions:
Tl1 0.500 0.000 0.000  0.00
Mg1 0.500 0.500 0.500  0.01
Zr1 0.000 0.500 0.500  0.17
Zr2 0.200 0.202 0.202  -0.02
Tl2 0.000 0.780 0.220  0.00
Zr3 0.294 0.001 0.587  0.01
Tl3 0.000 0.220 0.780  0.00
Zr4 0.800 0.798 0.798  -0.02
Zr5 0.706 0.999 0.413  0.01
Zr6 0.294 0.587 0.001  0.01
Zr7 0.706 0.413 0.999  0.01

Properties
For the density of states at the Fermi level, the calculation gives 9.7 states/eV/cell. The volume is 24.39 Å³ per atom. As for the total magnetic moment: 0.256 μB per cell. The calculation puts the formation energy at 265 meV/atom.

Material: FePt2Au
Method: DFT, PBE
State: optimized geometry

Unit cell a=3.916 b=2.803 c=6.341 alpha=63.39 beta=90.00 gamma=90.00
Site moments in Bohr magnetons follow the coordinates.
Fractional positions:
Au1 0.000 0.494 0.505  0.06
Fe1 0.500 0.734 0.766  3.12
Pt1 0.000 0.015 0.986  0.34
Pt2 0.500 0.257 0.243  0.19

Properties
For the density of states at the Fermi level, the calculation gives 2.7 states/eV/cell. The volume is 15.56 Å³ per atom. As for the total magnetic moment: 3.715 μB per cell. The calculation puts the formation energy at -51 meV/atom.

Material: La2TaBr
Method: DFT, PBE
State: optimized geometry

Unit cell a=11.130 b=11.130 c=11.130 alpha=17.69 beta=17.69 gamma=17.69
Fractional positions:
La1 0.239 0.239 0.239
Ta1 0.491 0.491 0.491
La2 0.002 0.002 0.002
Br1 0.768 0.768 0.768

Properties
For the density of states at the Fermi level, the calculation gives 5.1 states/eV/cell. The volume is 27.78 Å³ per atom. As for the total magnetic moment: 0.000 μB per cell. The formation energy from raw total energies comes out at 0.15 eV/atom.

Material: Be2HgTe
Method: DFT, PBE
State: optimized geometry

Unit cell a=4.841 b=4.841 c=4.841 alpha=60.00 beta=60.00 gamma=60.00
Fractional positions:
Be1 0.000 0.000 0.000
Be2 0.250 0.250 0.250
Hg1 0.500 0.500 0.500
Te1 0.750 0.750 0.750

Properties
For the density of states at the Fermi level, the calculation gives 2.0 states/eV/cell. The volume is 20.05 Å³ per atom. As for the total magnetic moment: 0.000 μB per cell. The formation energy from raw total energies comes out at 0.99 eV/atom.

Material: La4CoHgPb
Method: DFT, PBE
State: optimized geometry

Unit cell a=7.279 b=7.249 c=9.229 alpha=90.00 beta=113.22 gamma=90.00
Fractional positions:
Hg1 0.115 0.250 0.230
La1 0.424 0.750 0.848
La2 0.500 0.500 0.500
La3 0.071 0.750 0.143
Hg2 0.885 0.750 0.770
La4 0.929 0.250 0.857
La5 0.000 0.500 0.500
La6 0.576 0.250 0.152
Co1 0.757 0.250 0.513
La7 0.500 0.000 0.500
La8 0.000 0.000 0.500
Pb1 0.612 0.750 0.225
Pb2 0.388 0.250 0.775
Co2 0.243 0.750 0.487

Properties
For the density of states at the Fermi level, the calculation gives 13.9 states/eV/cell. The volume is 31.97 Å³ per atom. As for the total magnetic moment: 0.000 μB per cell. The calculation puts the formation energy at -349 meV/atom.

Material: Tl2VCl6
Method: DFT, PBE
State: optimized geometry

Unit cell a=6.049 b=6.945 c=6.945 alpha=60.08 beta=89.47 gamma=89.47
Site moments in Bohr magnetons follow the coordinates.
Fractional positions:
Cl1 0.778 0.159 0.159  -0.02
Cl2 0.222 0.841 0.841  -0.02
Tl1 0.803 0.668 0.668  0.00
Tl2 0.197 0.332 0.332  0.00
Cl3 0.220 0.841 0.316  -0.02
Cl4 0.780 0.684 0.159  -0.02
V1 0.000 0.000 0.000  1.06
Cl5 0.780 0.159 0.684  -0.02
Cl6 0.220 0.316 0.841  -0.02

Properties
For the density of states at the Fermi level, the calculation gives 6.7 states/eV/cell. The volume is 28.09 Å³ per atom. As for the total magnetic moment: 1.000 μB per cell. The formation energy from raw total energies comes out at -1.09 eV/atom.

Material: PuHfBe2
Method: DFT, PBE
State: optimized geometry

Unit cell a=4.545 b=4.545 c=4.545 alpha=60.00 beta=60.00 gamma=60.00
Site moments in Bohr magnetons follow the coordinates.
Fractional positions:
Hf1 0.500 0.500 0.500  0.09
Be1 0.750 0.750 0.750  0.00
Pu1 0.000 0.000 0.000  4.84
Be2 0.250 0.250 0.250  0.00

Properties
For the density of states at the Fermi level, the calculation gives 5.5 states/eV/cell. The volume is 16.59 Å³ per atom. As for the total magnetic moment: 5.088 μB per cell. The calculation puts the formation energy at 190 meV/atom.

| no. | uncorrected energy (eV/atom) |
| --- | --- |
| 1 | -4.62 |
| 2 | -5.91 |
| 3 | -3.68 |
| 4 | -2.94 |
| 5 | -6.86 |
| 6 | -4.22 |
| 7 | -8.14 |
| 8 | -6.92 |
| 9 | -4.16 |
| 10 | -3.72 |
| 11 | -4.03 |
| 12 | -3.63 |
| 13 | -7.89 |
| 14 | -5.96 |
| 15 | -6.01 |
| 16 | -5.69 |
| 17 | -1.73 |
| 18 | -4.75 |
| 19 | -3.86 |
| 20 | -7.74 |